VASP calculation (PBE) on Pa5Te6 after structural relaxation.

Values from the calculation:
- crystal system = monoclinic
- formation energy without anion corrections (eV per atom) = -0.71
- V (Å³/atom) = 30.1

Cell lengths 7.201, 7.748, 7.354 Å; angles 121.79, 99.55, 71.64 degrees
Last column: magnetic moment on the atom in μB.
Element x y z (fractional)
1 Pa 0.500 0.814 0.628  0.74
2 Pa 0.500 0.500 0.000  0.79
3 Pa 0.500 0.186 0.372  0.74
4 Pa 0.000 0.658 0.317  0.53
5 Pa 0.000 0.342 0.683  0.53
6 Te 0.775 0.379 0.308  -0.02
7 Te 0.225 0.929 0.308  -0.02
8 Te 0.744 0.777 0.000  -0.02
9 Te 0.775 0.071 0.692  -0.02
10 Te 0.256 0.223 0.000  -0.02
11 Te 0.225 0.621 0.692  -0.02